A relaxed PmTmHgBi crystal. Source: Alexandria via LeMat-Bulk, functional PBE.

Computed properties:
The value obtained for the energy relative to the elements is -492 meV/atom. The symmetry is F-43m, No. 216. Its crystal system is cubic.

Lattice parameters (Å, degrees): 5.409 5.409 5.409 60.00 60.00 60.00
Sites, in units of the cell vectors:
Tm 0.500 0.500 0.500
Pm 0.000 0.000 0.000
Bi 0.250 0.250 0.250
Hg 0.750 0.750 0.750